# Fe2Sn2W | Alexandria | PBE | relaxed
# Calculated density (g/cm³): 10.1
data_Fe2Sn2W
_cell_length_a 3.873
_cell_length_b 3.873
_cell_length_c 11.684
_cell_angle_alpha 90.00
_cell_angle_beta 90.00
_cell_angle_gamma 90.00
_space_group_name_H-M_alt 'I 4/m m m'
_space_group_IT_number 139
_space_group_name_Hall '-I 4 2'
loop_
_atom_site_label
_atom_site_fract_x
_atom_site_fract_y
_atom_site_fract_z
_atom_site_occupancy
Fe1 0.000 0.000 0.092 1
Sn1 0.000 0.500 0.250 1
W1 0.000 0.000 0.500 1

---

# YInIr2 | Alexandria | PBE | relaxed
# Calculated density (g/cm³): 12.9
data_YInIr2
_cell_length_a 10.407
_cell_length_b 3.103
_cell_length_c 4.860
_cell_angle_alpha 90.00
_cell_angle_beta 106.06
_cell_angle_gamma 90.00
_space_group_name_H-M_alt 'C 1 m 1'
_space_group_IT_number 8
loop_
_space_group_symop_operation_xyz
'x,y,z'
'x,-y,z'
'x+1/2,y+1/2,z'
'x+1/2,-y+1/2,z'
loop_
_atom_site_label
_atom_site_fract_x
_atom_site_fract_y
_atom_site_fract_z
_atom_site_occupancy
Y1 0.000 0.000 0.000 1
In1 0.212 0.000 0.635 1
Ir1 0.254 0.500 0.155 1
Ir2 0.469 0.000 0.490 1

---

Formation energy, record by record: 1.00 -0.32 eV/atom